Record 1
# La3SmGa4 (PBE-GGA, relaxed)
# Fermi-level density of states ... 0.57 states/eV per atom
# Formation enthalpy at 0 K ... -4.58 eV per formula unit
data_La3SmGa4
_chemical_formula_sum 'La3 Sm1 Ga4'
_symmetry_space_group_name_H-M 'P 4/m m m'
_symmetry_Int_Tables_number 123
_symmetry_space_group_name_Hall '-P 4 2'
_cell_length_a 3.7404
_cell_length_b 3.7404
_cell_length_c 14.9705
_cell_angle_alpha 90.00
_cell_angle_beta 90.00
_cell_angle_gamma 90.00
loop_
_atom_site_label
_atom_site_fract_x
_atom_site_fract_y
_atom_site_fract_z
La1 0.0000 0.0000 0.0000
La2 0.0000 0.0000 0.2538
Sm1 0.0000 0.0000 0.5000
Ga1 0.5000 0.5000 0.1267
Ga2 0.5000 0.5000 0.3846

Record 2
# Pr3Ga4Pt7 (PBE-GGA, relaxed)
# Fermi-level density of states ... 0.38 states/eV per atom
# Formation enthalpy at 0 K ... -13.42 eV per formula unit
data_Pr3Ga4Pt7
_chemical_formula_sum 'Pr6 Ga8 Pt14'
_symmetry_space_group_name_H-M 'C 1 2/m 1'
_symmetry_Int_Tables_number 12
_symmetry_space_group_name_Hall '-C 2y'
_cell_length_a 16.2795
_cell_length_b 4.2868
_cell_length_c 9.4663
_cell_angle_alpha 90.00
_cell_angle_beta 125.05
_cell_angle_gamma 90.00
loop_
_atom_site_label
_atom_site_fract_x
_atom_site_fract_y
_atom_site_fract_z
Pr1 0.0000 0.0000 0.0000
Pr2 0.1731 0.5000 0.6619
Ga1 0.1267 0.0000 0.8517
Ga2 0.1781 0.5000 0.3195
Pt1 0.0000 0.0000 0.5000
Pt2 0.0094 0.5000 0.7392
Pt3 0.1291 0.0000 0.3936
Pt4 0.1921 0.5000 0.0633

Record 3
# AcCdRh (PBE-GGA, relaxed)
# Fermi-level density of states ... 0.47 states/eV per atom
# Formation enthalpy at 0 K ... -1.21 eV per formula unit
data_AcCdRh
_chemical_formula_sum 'Ac1 Cd1 Rh1'
_symmetry_space_group_name_H-M 'P 3 m 1'
_symmetry_Int_Tables_number 156
_symmetry_space_group_name_Hall 'P 3 -2"'
_cell_length_a 4.7023
_cell_length_b 4.7023
_cell_length_c 4.1474
_cell_angle_alpha 90.00
_cell_angle_beta 90.00
_cell_angle_gamma 120.00
loop_
_atom_site_label
_atom_site_fract_x
_atom_site_fract_y
_atom_site_fract_z
Ac1 0.0000 0.0000 0.0000
Cd1 0.6667 0.3333 0.5000
Rh1 0.3333 0.6667 0.5017

Record 4
# ScIn2Pd2 (PBE-GGA, relaxed)
# Fermi-level density of states ... 0.64 states/eV per atom
# Formation enthalpy at 0 K ... -1.89 eV per formula unit
data_ScIn2Pd2
_chemical_formula_sum 'Sc2 In4 Pd4'
_symmetry_space_group_name_H-M 'I 4/m m m'
_symmetry_Int_Tables_number 139
_symmetry_space_group_name_Hall '-I 4 2'
_cell_length_a 4.0700
_cell_length_b 4.0700
_cell_length_c 12.6454
_cell_angle_alpha 90.00
_cell_angle_beta 90.00
_cell_angle_gamma 90.00
loop_
_atom_site_label
_atom_site_fract_x
_atom_site_fract_y
_atom_site_fract_z
Sc1 0.0000 0.0000 0.0000
In1 0.0000 0.5000 0.2500
Pd1 0.0000 0.0000 0.3978